## Tb2Tm4Zr (PBE)

Data for crystalline Tb2Tm4Zr at its relaxed geometry.

Properties
The calculated formation energy comes out at 0.2 eV/f.u. For the density of states at the Fermi level, the calculation gives 21.5 states/eV/cell.

```
data_Tb2Tm4Zr
_chemical_formula_sum 'Tb4 Tm8 Zr2'
_cell_length_a 6.077
_cell_length_b 3.509
_cell_length_c 19.492
_cell_angle_alpha 90.00
_cell_angle_beta 95.96
_cell_angle_gamma 90.00
_space_group_name_H-M_alt 'C 1 m 1'
_space_group_IT_number 8
loop_
_space_group_symop_operation_xyz
'x,y,z'
'x,-y,z'
'x+1/2,y+1/2,z'
'x+1/2,-y+1/2,z'
loop_
_atom_site_label
_atom_site_fract_x
_atom_site_fract_y
_atom_site_fract_z
Tb1 0.000 0.000 0.000
Tb2 0.097 0.000 0.293
Tm1 0.284 0.000 0.854
Tm2 0.314 0.500 0.443
Tm3 0.383 0.000 0.147
Tm4 0.401 0.500 0.708
Zr1 0.191 0.000 0.575
```